Record 1
## TlTe2N (PBE)

Data for a relaxed structure of TlTe2N.

Cell and atoms, written as CIF:
```
data_TlTe2N
_chemical_formula_sum 'Tl4 Te8 N4'
_space_group_name_H-M_alt 'P 1'
_space_group_IT_number 1
_cell_length_a 7.157
_cell_length_b 7.157
_cell_length_c 7.157
_cell_angle_alpha 90.00
_cell_angle_beta 90.00
_cell_angle_gamma 90.00
loop_
_space_group_symop_operation_xyz
'x,y,z'
loop_
_atom_site_label
_atom_site_type_symbol
_atom_site_fract_x
_atom_site_fract_y
_atom_site_fract_z
Tl1 Tl 0.000 0.000 0.000
Tl2 Tl 0.000 0.500 0.500
Tl3 Tl 0.500 0.000 0.500
Tl4 Tl 0.500 0.500 0.000
Te1 Te 0.250 0.250 0.250
Te2 Te 0.250 0.250 0.750
Te3 Te 0.250 0.750 0.250
Te4 Te 0.250 0.750 0.750
Te5 Te 0.750 0.250 0.250
Te6 Te 0.750 0.250 0.750
Te7 Te 0.750 0.750 0.250
Te8 Te 0.750 0.750 0.750
N1 N 0.000 0.000 0.500
N2 N 0.000 0.500 0.000
N3 N 0.500 0.000 0.000
N4 N 0.500 0.500 0.500
```

Results
E (eV per atom): -2.863
ΔE_f (raw) (eV/f.u.): 5.521

Record 2
## Tl4Te3N4 (PBE)

Data for a relaxed structure of Tl4Te3N4.

Cell and atoms, written as CIF:
```
data_Tl4Te3N4
_chemical_formula_sum 'Tl4 Te3 N4'
_space_group_name_H-M_alt 'P 1'
_space_group_IT_number 1
_cell_length_a 8.052
_cell_length_b 8.052
_cell_length_c 13.151
_cell_angle_alpha 119.82
_cell_angle_beta 119.82
_cell_angle_gamma 22.40
loop_
_space_group_symop_operation_xyz
'x,y,z'
loop_
_atom_site_label
_atom_site_type_symbol
_atom_site_fract_x
_atom_site_fract_y
_atom_site_fract_z
Tl1 Tl 0.004 0.004 0.212
Tl2 Tl 0.281 0.281 0.415
Tl3 Tl 0.719 0.719 0.585
Tl4 Tl 0.996 0.996 0.788
Te1 Te 0.311 0.311 0.888
Te2 Te 0.500 0.500 0.500
Te3 Te 0.689 0.689 0.112
N1 N 0.117 0.117 0.993
N2 N 0.166 0.166 0.214
N3 N 0.834 0.834 0.786
N4 N 0.883 0.883 0.007
```

Results
E (eV per atom): -4.022
ΔE_f (raw) (eV/f.u.): 7.948

- Which of these has the highest ΔE_f (raw)?
  Tl4Te3N4

- Which value of E does entry 2 give?
  -4.022 eV per atom

- Which of these has the lowest E?
  Tl4Te3N4